Pm5InSn2 | the Alexandria database | PBE | optimized geometry; energy of formation = -0.555 eV per atom; DOS at the Fermi energy = 0.964 states/eV/atom; space group = I4/mcm; total energy = -4.867 eV/atom
1.0
-6.709 4.328 -2.268
-4.079 -7.082 -1.449
3.048 1.327 8.703
Pm In Sn
10 2 4
Cartesian
-4.127 -1.675 3.953 Pm
-8.567 -3.032 -0.689 Pm
0.000 0.000 0.000 Pm
-5.394 -1.377 -1.859 Pm
0.828 1.605 5.675 Pm
-3.208 2.588 4.300 Pm
-0.092 -2.658 5.329 Pm
-4.532 -4.014 0.686 Pm
-7.647 1.231 -0.343 Pm
-3.612 0.249 1.033 Pm
-6.567 -1.402 1.564 In
-1.173 -0.025 3.422 In
-2.390 -2.018 -0.834 Sn
-4.795 1.797 -1.630 Sn
-5.993 -4.550 -2.087 Sn
-8.397 -0.736 -2.883 Sn

***

Li2ThMg2Hg2 | the Alexandria database | PBE | optimized geometry; energy of formation = -0.234 eV per atom; DOS at the Fermi energy = 0.427 states/eV/atom; space group = C2/m; total energy = -2.383 eV/atom
1.0
-4.399 -0.681 2.094
0.965 -2.005 -4.403
3.357 -4.664 5.537
Li Th Mg Hg
2 1 2 2
Cartesian
1.123 -2.742 1.468 Li
-1.200 -4.607 1.760 Li
0.000 0.000 0.000 Th
0.044 -4.077 4.547 Mg
-0.121 -3.273 -1.318 Mg
-2.094 -2.378 0.606 Hg
2.017 -4.971 2.622 Hg

***

TbGdTlCd | the Alexandria database | PBE | optimized geometry; energy of formation = -0.366 eV per atom; DOS at the Fermi energy = 0.948 states/eV/atom; space group = F-43m; total energy = -5.864 eV/atom
1.0
5.359 0.000 0.000
2.679 4.641 0.000
2.679 1.547 4.375
Tl Gd Tb Cd
1 1 1 1
Cartesian
8.038 4.641 3.281 Tl
0.000 0.000 0.000 Gd
5.359 3.094 2.188 Tb
2.679 1.547 1.094 Cd